*w*
Density functional theory data (PBE-GGA) for crystalline HfCd3Sb at its relaxed geometry.

Unit cell a=5.405 b=5.405 c=5.405 alpha=90.00 beta=90.00 gamma=90.00
Element x y z (fractional)
Hf 0.000 0.000 0.000
Cd 0.000 0.500 0.500
Cd 0.500 0.000 0.500
Cd 0.500 0.500 0.000
Sb 0.500 0.500 0.500

*x*
Density functional theory data (PBE-GGA) for crystalline HfCd3Sb at its relaxed geometry.

Unit cell a=5.519 b=5.519 c=5.519 alpha=90.00 beta=90.00 gamma=90.00
Element x y z (fractional)
Hf 0.000 0.000 0.000
Cd 0.000 0.000 0.500
Cd 0.000 0.500 0.000
Cd 0.500 0.000 0.000
Sb 0.500 0.500 0.500

It is *w* that is the least stable of them.

*w*
Density functional theory data (PBE-GGA) for crystalline HfScCd at its relaxed geometry.

Unit cell a=5.119 b=5.119 c=2.892 alpha=90.00 beta=90.00 gamma=120.00
Element x y z (fractional)
Hf 0.000 0.000 0.000
Sc 0.667 0.333 0.996
Cd 0.333 0.667 0.497

*x*
Density functional theory data (PBE-GGA) for crystalline HfScCd at its relaxed geometry.

Unit cell a=3.203 b=3.203 c=13.088 alpha=90.00 beta=90.00 gamma=90.00
Element x y z (fractional)
Hf 0.250 0.250 0.085
Hf 0.750 0.750 0.915
Sc 0.250 0.250 0.748
Sc 0.750 0.750 0.252
Cd 0.250 0.250 0.419
Cd 0.750 0.750 0.581

It is *w* that is the least stable of them.

*w*
Density functional theory data (PBE-GGA) for crystalline Hf2Sc2Cd at its relaxed geometry.

Unit cell a=8.030 b=8.030 c=3.615 alpha=90.00 beta=90.00 gamma=90.00
Element x y z (fractional)
Hf 0.128 0.372 0.000
Hf 0.372 0.872 0.000
Hf 0.628 0.128 0.000
Hf 0.872 0.628 0.000
Sc 0.168 0.668 0.500
Sc 0.332 0.168 0.500
Sc 0.668 0.832 0.500
Sc 0.832 0.332 0.500
Cd 0.000 0.000 0.000
Cd 0.500 0.500 0.000

*x*
Density functional theory data (PBE-GGA) for crystalline Hf2Sc2Cd at its relaxed geometry.

Unit cell a=11.161 b=11.161 c=11.161 alpha=163.47 beta=163.47 gamma=23.47
Element x y z (fractional)
Hf 0.199 0.199 0.000
Hf 0.801 0.801 0.000
Sc 0.401 0.401 0.000
Sc 0.599 0.599 0.000
Cd 0.000 0.000 0.000

*y*
Density functional theory data (PBE-GGA) for crystalline Hf2Sc2Cd at its relaxed geometry.

Unit cell a=7.540 b=7.540 c=4.103 alpha=90.00 beta=90.00 gamma=90.00
Element x y z (fractional)
Hf 0.144 0.356 0.000
Hf 0.356 0.856 0.000
Hf 0.644 0.144 0.000
Hf 0.856 0.644 0.000
Sc 0.146 0.646 0.500
Sc 0.354 0.146 0.500
Sc 0.646 0.854 0.500
Sc 0.854 0.354 0.500
Cd 0.000 0.000 0.500
Cd 0.500 0.500 0.500

It is *w* that is the least stable of them.

*w*
Density functional theory data (PBE-GGA) for crystalline Hf2ScCd2 at its relaxed geometry.

Unit cell a=7.632 b=7.632 c=7.632 alpha=148.97 beta=148.97 gamma=44.45
Element x y z (fractional)
Hf 0.250 0.750 0.500
Hf 0.750 0.250 0.500
Sc 0.000 0.000 0.000
Cd 0.405 0.405 0.000
Cd 0.595 0.595 0.000

*x*
Density functional theory data (PBE-GGA) for crystalline Hf2ScCd2 at its relaxed geometry.

Unit cell a=8.095 b=8.095 c=3.447 alpha=90.00 beta=90.00 gamma=90.00
Element x y z (fractional)
Hf 0.173 0.327 0.000
Hf 0.327 0.827 0.000
Hf 0.673 0.173 0.000
Hf 0.827 0.673 0.000
Sc 0.000 0.000 0.500
Sc 0.500 0.500 0.500
Cd 0.127 0.627 0.500
Cd 0.373 0.127 0.500
Cd 0.627 0.873 0.500
Cd 0.873 0.373 0.500

*y*
Density functional theory data (PBE-GGA) for crystalline Hf2ScCd2 at its relaxed geometry.

Unit cell a=8.666 b=8.666 c=3.053 alpha=90.00 beta=90.00 gamma=90.00
Element x y z (fractional)
Hf 0.120 0.380 0.000
Hf 0.380 0.880 0.000
Hf 0.620 0.120 0.000
Hf 0.880 0.620 0.000
Sc 0.000 0.000 0.000
Sc 0.500 0.500 0.000
Cd 0.177 0.677 0.500
Cd 0.323 0.177 0.500
Cd 0.677 0.823 0.500
Cd 0.823 0.323 0.500

It is *w* that is the least stable of them.

*w*
Density functional theory data (PBE-GGA) for crystalline HfScCd2 at its relaxed geometry.

Unit cell a=3.434 b=3.434 c=7.326 alpha=90.00 beta=90.00 gamma=90.00
Element x y z (fractional)
Hf 0.000 0.000 0.000
Sc 0.000 0.000 0.500
Cd 0.500 0.500 0.253
Cd 0.500 0.500 0.747

*x*
Density functional theory data (PBE-GGA) for crystalline HfScCd2 at its relaxed geometry.

Unit cell a=4.513 b=4.513 c=4.237 alpha=90.00 beta=90.00 gamma=90.00
Element x y z (fractional)
Hf 0.000 0.000 0.000
Sc 0.500 0.500 0.000
Cd 0.000 0.500 0.500
Cd 0.500 0.000 0.500

It is *x* that is the least stable of them.

*w*
Density functional theory data (PBE-GGA) for crystalline HfScCd2 at its relaxed geometry.

Unit cell a=6.368 b=6.368 c=6.368 alpha=102.36 beta=102.36 gamma=124.88
Element x y z (fractional)
Hf 0.000 0.000 0.000
Hf 0.750 0.250 0.500
Sc 0.250 0.750 0.500
Sc 0.500 0.500 0.000
Cd 0.124 0.625 0.999
Cd 0.375 0.374 0.499
Cd 0.626 0.125 0.001
Cd 0.875 0.876 0.501

*x*
Density functional theory data (PBE-GGA) for crystalline HfScCd2 at its relaxed geometry.

Unit cell a=4.966 b=4.966 c=4.966 alpha=60.00 beta=60.00 gamma=60.00
Element x y z (fractional)
Hf 0.000 0.000 0.000
Sc 0.500 0.500 0.500
Cd 0.250 0.250 0.250
Cd 0.750 0.750 0.750

It is *w* that is the least stable of them.

*w*
Density functional theory data (PBE-GGA) for crystalline HfScCd4 at its relaxed geometry.

Unit cell a=5.690 b=5.690 c=5.690 alpha=60.00 beta=60.00 gamma=60.00
Element x y z (fractional)
Hf 0.000 0.000 0.000
Sc 0.250 0.250 0.250
Cd 0.125 0.625 0.625
Cd 0.625 0.125 0.625
Cd 0.625 0.625 0.125
Cd 0.625 0.625 0.625

*x*
Density functional theory data (PBE-GGA) for crystalline HfScCd4 at its relaxed geometry.

Unit cell a=6.741 b=6.741 c=6.383 alpha=103.58 beta=103.58 gamma=27.34
Element x y z (fractional)
Hf 0.000 0.000 0.000
Sc 0.000 0.000 0.500
Cd 0.333 0.333 0.668
Cd 0.334 0.334 0.167
Cd 0.666 0.666 0.833
Cd 0.667 0.667 0.332

It is *w* that is the least stable of them.

*w*
Density functional theory data (PBE-GGA) for crystalline Hf2CdSe at its relaxed geometry.

Unit cell a=10.511 b=10.511 c=10.511 alpha=156.59 beta=156.59 gamma=33.35
Element x y z (fractional)
Hf 0.117 0.625 0.992
Hf 0.375 0.367 0.492
Hf 0.633 0.125 0.008
Hf 0.875 0.883 0.508
Cd 0.250 0.750 0.500
Cd 0.500 0.500 0.000
Se 0.000 0.000 0.000
Se 0.750 0.250 0.500

*x*
Density functional theory data (PBE-GGA) for crystalline Hf2CdSe at its relaxed geometry.

Unit cell a=10.158 b=10.158 c=10.158 alpha=18.52 beta=18.52 gamma=18.52
Element x y z (fractional)
Hf 0.100 0.100 0.100
Hf 0.900 0.900 0.900
Cd 0.000 0.000 0.000
Se 0.500 0.500 0.500

It is *w* that is the least stable of them.

*w*
Density functional theory data (PBE-GGA) for crystalline HfCdSe3 at its relaxed geometry.

Unit cell a=5.185 b=5.185 c=5.185 alpha=90.00 beta=90.00 gamma=90.00
Element x y z (fractional)
Hf 0.000 0.000 0.000
Cd 0.500 0.500 0.500
Se 0.000 0.000 0.500
Se 0.000 0.500 0.000
Se 0.500 0.000 0.000

*x*
Density functional theory data (PBE-GGA) for crystalline HfCdSe3 at its relaxed geometry.

Unit cell a=5.075 b=5.075 c=5.075 alpha=90.00 beta=90.00 gamma=90.00
Element x y z (fractional)
Hf 0.000 0.000 0.000
Cd 0.500 0.500 0.500
Se 0.000 0.500 0.500
Se 0.500 0.000 0.500
Se 0.500 0.500 0.000

It is *x* that is the least stable of them.

*w*
Density functional theory data (PBE-GGA) for crystalline HfCdSi3 at its relaxed geometry.

Unit cell a=5.096 b=5.096 c=5.096 alpha=90.00 beta=90.00 gamma=90.00
Element x y z (fractional)
Hf 0.000 0.000 0.000
Cd 0.500 0.500 0.500
Si 0.000 0.000 0.500
Si 0.000 0.500 0.000
Si 0.500 0.000 0.000

*x*
Density functional theory data (PBE-GGA) for crystalline HfCdSi3 at its relaxed geometry.

Unit cell a=4.873 b=4.873 c=4.873 alpha=90.00 beta=90.00 gamma=90.00
Element x y z (fractional)
Hf 0.000 0.000 0.000
Cd 0.500 0.500 0.500
Si 0.000 0.500 0.500
Si 0.500 0.000 0.500
Si 0.500 0.500 0.000

It is *x* that is the least stable of them.

*w*
Density functional theory data (PBE-GGA) for crystalline Sm2HfCd at its relaxed geometry.

Unit cell a=3.438 b=3.438 c=9.280 alpha=90.00 beta=90.00 gamma=90.00
Element x y z (fractional)
Sm 0.000 0.000 0.249
Sm 0.000 0.000 0.751
Hf 0.500 0.500 0.500
Cd 0.500 0.500 0.000

*x*
Density functional theory data (PBE-GGA) for crystalline Sm2HfCd at its relaxed geometry.

Unit cell a=12.165 b=12.165 c=12.165 alpha=15.37 beta=15.37 gamma=15.37
Element x y z (fractional)
Sm 0.088 0.088 0.088
Sm 0.912 0.912 0.912
Hf 0.000 0.000 0.000
Cd 0.500 0.500 0.500

It is *x* that is the least stable of them.

*w*
Density functional theory data (PBE-GGA) for crystalline HfCd2Sn2 at its relaxed geometry.

Unit cell a=7.986 b=7.986 c=3.799 alpha=90.00 beta=90.00 gamma=90.00
Element x y z (fractional)
Hf 0.000 0.000 0.000
Hf 0.500 0.500 0.000
Cd 0.144 0.356 0.500
Cd 0.356 0.856 0.500
Cd 0.644 0.144 0.500
Cd 0.856 0.644 0.500
Sn 0.158 0.658 0.000
Sn 0.342 0.158 0.000
Sn 0.658 0.842 0.000
Sn 0.842 0.342 0.000

*x*
Density functional theory data (PBE-GGA) for crystalline HfCd2Sn2 at its relaxed geometry.

Unit cell a=8.943 b=8.943 c=8.943 alpha=154.86 beta=154.86 gamma=35.86
Element x y z (fractional)
Hf 0.000 0.000 0.000
Cd 0.250 0.750 0.500
Cd 0.750 0.250 0.500
Sn 0.413 0.413 0.000
Sn 0.587 0.587 0.000

It is *x* that is the least stable of them.